VASP calculation (PBE-GGA) on an optimized crystal structure of Ce2Ge4PdAu3.

V (A^3/atom): 20.7
Space group: P-4m2, No. 115
Calculated density (Mg/m³): 10.20
Size of the total moment (μB per formula unit): 1.52
Formation energy from the elements (eV per atom): -0.560

a b c (Å): 4.4230 4.4230 10.5566
angles (deg): 90.00 90.00 90.00
Each line ends with the local moment (μB).
Positions (direct):
Ge  0.0000  0.0000  0.0000  -0.01
Ge  0.0000  0.5000  0.3720  -0.01
Ge  0.5000  0.0000  0.6280  -0.01
Ge  0.5000  0.5000  0.0000  -0.01
Au  0.5000  0.0000  0.8648  -0.01
Au  0.0000  0.5000  0.1352  -0.01
Au  0.0000  0.0000  0.5000  -0.01
Ce  0.5000  0.0000  0.2580  0.75
Ce  0.0000  0.5000  0.7420  0.75
Pd  0.5000  0.5000  0.5000  -0.01